# Na5Ge2Se6, optimized geometry, DFT PBE
# - Size of the total moment: 0.000 μB per formula unit
# - Uncorrected energy: -3.613 eV/atom
# - ΔE_f (raw): -0.787 eV/atom
data_Na5Ge2Se6
_cell_length_a 11.774
_cell_length_b 13.735
_cell_length_c 4.270
_cell_angle_alpha 90.00
_cell_angle_beta 90.00
_cell_angle_gamma 90.00
_symmetry_space_group_name_H-M 'P b a m'
_symmetry_Int_Tables_number 55
_symmetry_space_group_name_Hall '-P 2 2ab'
loop_
_atom_site_label
_atom_site_type_symbol
_atom_site_fract_x
_atom_site_fract_y
_atom_site_fract_z
_atom_site_occupancy
Na1 Na 0.000 0.000 0.000 1
Na2 Na 0.042 0.255 0.000 1
Na3 Na 0.183 0.517 0.000 1
Ge1 Ge 0.209 0.718 0.500 1
Se1 Se 0.048 0.613 0.500 1
Se2 Se 0.128 0.111 0.500 1
Se3 Se 0.209 0.819 0.000 1